MnTe2O | Alexandria | PBE with a Hubbard U | relaxed; space-group type = I-42d (122); total magnetic moment = 1.23 μB per atom; raw total energy = -4.684 eV/atom
1.0
-2.876 2.876 6.413
2.876 -2.876 6.413
2.876 2.876 -6.413
Mn Te O
2 4 2
Cartesian
0.000 0.000 0.000
0.000 2.876 3.207
1.438 -0.885 4.810
1.991 1.438 1.603
1.438 3.762 -1.603
0.885 1.438 8.016
2.876 0.000 3.207
0.000 0.000 6.413